No. 1
Computed, not measured: PrHoPa after structural relaxation at the PBE-GGA level of DFT.

abc: 5.1857 5.1857 5.1857
angles: 60.00 60.00 60.00
Positions (direct):
Pr 0.0000 0.0000 0.0000
Ho 0.7500 0.7500 0.7500
Pa 0.2500 0.2500 0.2500

Computed properties:
The value obtained for the excess energy over the best structure of this formula in the dataset is 0 meV/atom. The symmetry is F-43m, No. 216.

No. 2
Computed, not measured: GaHg after structural relaxation at the PBE-GGA level of DFT.

abc: 5.6264 5.9760 5.9812
angles: 108.69 92.26 104.89
Positions (direct):
Ga 0.1537 0.4361 0.1974
Ga 0.2347 0.8320 0.6257
Ga 0.7653 0.1680 0.3743
Ga 0.8463 0.5639 0.8026
Hg 0.2599 0.9652 0.1640
Hg 0.3083 0.3596 0.7155
Hg 0.6917 0.6404 0.2845
Hg 0.7401 0.0348 0.8360

Computed properties:
The value obtained for the electronic total energy is -1.58 eV/atom. The symmetry is P-1, No. 2.

No. 3
Computed, not measured: Er2AgTe3 after structural relaxation at the PBE-GGA level of DFT.

abc: 10.9207 4.1305 14.6339
angles: 90.00 90.00 90.00
Positions (direct):
Er 0.0161 0.2500 0.2473
Er 0.2286 0.7500 0.5267
Er 0.2714 0.2500 0.0267
Er 0.4839 0.7500 0.7473
Er 0.5161 0.2500 0.2527
Er 0.7286 0.7500 0.9733
Er 0.7714 0.2500 0.4733
Er 0.9839 0.7500 0.7527
Ag 0.2363 0.2500 0.7263
Ag 0.2637 0.7500 0.2263
Ag 0.7363 0.2500 0.7737
Ag 0.7637 0.7500 0.2737
Te 0.0383 0.2500 0.6012
Te 0.0769 0.7500 0.0978
Te 0.2357 0.7500 0.8625
Te 0.2643 0.2500 0.3625
Te 0.4231 0.2500 0.5978
Te 0.4617 0.7500 0.1012
Te 0.5383 0.2500 0.8988
Te 0.5769 0.7500 0.4022
Te 0.7357 0.7500 0.6375
Te 0.7643 0.2500 0.1375
Te 0.9231 0.2500 0.9022
Te 0.9617 0.7500 0.3988

Computed properties:
The value obtained for the electronic total energy is -4.52 eV/atom. The symmetry is Pnma, No. 62.

No. 4
Computed, not measured: SiAg2S3 after structural relaxation at the PBE-GGA level of DFT.

abc: 7.0076 7.0076 6.5359
angles: 97.22 97.22 122.98
Positions (direct):
Si 0.0789 0.9211 0.5000
Si 0.9211 0.0789 0.0000
Ag 0.2983 0.8200 0.0379
Ag 0.4223 0.6209 0.5185
Ag 0.6209 0.4223 0.0185
Ag 0.8200 0.2983 0.5379
S 0.0633 0.1858 0.3550
S 0.1858 0.0633 0.8550
S 0.3707 0.9341 0.4343
S 0.5962 0.7572 0.9228
S 0.7572 0.5962 0.4228
S 0.9341 0.3707 0.9343

Computed properties:
The value obtained for the electronic total energy is -4.27 eV/atom. The symmetry is Cc, No. 9.

No. 5
Computed, not measured: TbMgAgS3 after structural relaxation at the PBE-GGA level of DFT.

abc: 6.5591 6.5591 10.5534
angles: 90.00 90.00 146.54
Positions (direct):
Tb 0.0000 0.0000 0.0000
Tb 0.0000 0.0000 0.5000
Mg 0.2345 0.7655 0.7500
Mg 0.7655 0.2345 0.2500
Ag 0.4833 0.5167 0.2500
Ag 0.5167 0.4833 0.7500
S 0.1194 0.8806 0.2500
S 0.3533 0.6467 0.0734
S 0.3533 0.6467 0.4266
S 0.6467 0.3533 0.5734
S 0.6467 0.3533 0.9266
S 0.8806 0.1194 0.7500

Computed properties:
The value obtained for the excess energy over the best structure of this formula in the dataset is 21 meV/atom. The symmetry is Cmcm, No. 63.

No. 6
Computed, not measured: NdPaTa after structural relaxation at the PBE-GGA level of DFT.

abc: 4.9288 4.9288 4.9288
angles: 60.00 60.00 60.00
Positions (direct):
Nd 0.0000 0.0000 0.0000
Pa 0.2500 0.2500 0.2500
Ta 0.5000 0.5000 0.5000

Computed properties:
The value obtained for the excess energy over the best structure of this formula in the dataset is 0 meV/atom. The symmetry is F-43m, No. 216.

No. 7
Computed, not measured: SmTcO3 after structural relaxation at the PBE-GGA level of DFT.

abc: 5.8285 5.8285 5.8285
angles: 57.89 57.89 57.89
Positions (direct):
Sm 0.1366 0.1366 0.1366
Sm 0.8634 0.8634 0.8634
Tc 0.3398 0.3398 0.3398
Tc 0.6602 0.6602 0.6602
O 0.0600 0.7162 0.4533
O 0.2838 0.5467 0.9400
O 0.4533 0.0600 0.7162
O 0.5467 0.9400 0.2838
O 0.7162 0.4533 0.0600
O 0.9400 0.2838 0.5467

Computed properties:
The value obtained for the electronic total energy is -8.05 eV/atom. The symmetry is R-3, No. 148.

No. 8
Computed, not measured: Li8Ta4O11 after structural relaxation at the PBE-GGA level of DFT.

abc: 5.0523 5.2326 8.9980
angles: 74.53 89.44 81.30
Positions (direct):
Li 0.0000 0.0000 0.0000
Li 0.0112 0.9822 0.3195
Li 0.0312 0.9775 0.6403
Li 0.2650 0.4817 0.5676
Li 0.4812 0.0032 0.8124
Li 0.5079 0.9845 0.4877
Li 0.5223 0.9875 0.1438
Li 0.7592 0.4667 0.0751
Ta 0.2358 0.4854 0.2418
Ta 0.2604 0.4955 0.8914
Ta 0.7406 0.4779 0.7468
Ta 0.7885 0.4827 0.3963
O 0.1345 0.2497 0.7800
O 0.1467 0.2173 0.4439
O 0.1503 0.2527 0.1118
O 0.3481 0.7233 0.0197
O 0.3927 0.7134 0.3494
O 0.4035 0.7512 0.6908
O 0.6336 0.2542 0.2840
O 0.6363 0.2137 0.9382
O 0.6648 0.2491 0.6099
O 0.8768 0.7151 0.5233
O 0.8778 0.7455 0.1882

Computed properties:
The value obtained for the electronic total energy is -7.30 eV/atom. The symmetry is P1, No. 1.

no.,mass density (g/cm³)
1,9.04
2,9.84
3,8.30
4,4.35
5,5.14
6,10.91
7,7.39
8,7.00